[1]
# Rb2AgH4Pd

A relaxed structure of Rb2AgH4Pd (GGA-PBE, Alexandria via LeMat-Bulk).

* density: 3.76 g/cm³
* final energy: -3.027 eV per atom

Structure (CIF):
```
data_Rb2AgH4Pd
_chemical_formula_sum 'Rb16 Ag8 H32 Pd8'
_symmetry_space_group_name_H-M 'F d d d'
_symmetry_Int_Tables_number 70
_cell_length_a 5.3492
_cell_length_b 12.3511
_cell_length_c 20.8145
_cell_angle_alpha 90.00
_cell_angle_beta 90.00
_cell_angle_gamma 90.00
loop_
_symmetry_equiv_pos_as_xyz
'x,y,z'
'-x,-y,-z'
'-x+1/4,-y+1/4,z'
'x+1/4,y+1/4,-z'
'x,-y+1/4,-z+1/4'
'-x,y+1/4,z+1/4'
'-x+1/4,y,-z+1/4'
'x+1/4,-y,z+1/4'
'x,y+1/2,z+1/2'
'-x,-y+1/2,-z+1/2'
'-x+1/4,-y+3/4,z+1/2'
'x+1/4,y+3/4,-z+1/2'
'x,-y+3/4,-z+3/4'
'-x,y+3/4,z+3/4'
'-x+1/4,y+1/2,-z+3/4'
'x+1/4,-y+1/2,z+3/4'
'x+1/2,y,z+1/2'
'-x+1/2,-y,-z+1/2'
'-x+3/4,-y+1/4,z+1/2'
'x+3/4,y+1/4,-z+1/2'
'x+1/2,-y+1/4,-z+3/4'
'-x+1/2,y+1/4,z+3/4'
'-x+3/4,y,-z+3/4'
'x+3/4,-y,z+3/4'
'x+1/2,y+1/2,z'
'-x+1/2,-y+1/2,-z'
'-x+3/4,-y+3/4,z'
'x+3/4,y+3/4,-z'
'x+1/2,-y+3/4,-z+1/4'
'-x+1/2,y+3/4,z+1/4'
'-x+3/4,y+1/2,-z+1/4'
'x+3/4,-y+1/2,z+1/4'
loop_
_atom_site_label
_atom_site_fract_x
_atom_site_fract_y
_atom_site_fract_z
Rb1 0.1250 0.1250 0.2953
Ag1 0.1250 0.1250 0.1250
H1 0.0969 0.2793 0.8532
Pd1 0.1250 0.1250 0.6250
```

---

[2]
# AgH2PdRh

A relaxed structure of AgH2PdRh (GGA-PBE, Alexandria via LeMat-Bulk).

* density: 7.81 g/cm³
* final energy: -3.794 eV per atom

Structure (CIF):
```
data_AgH2PdRh
_chemical_formula_sum 'Ag1 H2 Pd1 Rh1'
_symmetry_space_group_name_H-M 'P 4/m m m'
_symmetry_Int_Tables_number 123
_symmetry_space_group_name_Hall '-P 4 2'
_cell_length_a 3.6257
_cell_length_b 3.6257
_cell_length_c 5.1610
_cell_angle_alpha 90.00
_cell_angle_beta 90.00
_cell_angle_gamma 90.00
loop_
_atom_site_label
_atom_site_fract_x
_atom_site_fract_y
_atom_site_fract_z
Ag1 0.0000 0.0000 0.0000
H1 0.0000 0.5000 0.5000
Pd1 0.5000 0.5000 0.5000
Rh1 0.5000 0.5000 0.0000
```

---

[3]
# AgH3PdRh

A relaxed structure of AgH3PdRh (GGA-PBE, Alexandria via LeMat-Bulk).

* density: 8.01 g/cm³
* final energy: -4.232 eV per atom

Structure (CIF):
```
data_AgH3PdRh
_chemical_formula_sum 'Ag2 H6 Pd2 Rh2'
_symmetry_space_group_name_H-M 'P 1 21/m 1'
_symmetry_Int_Tables_number 11
_symmetry_space_group_name_Hall '-P 2yb'
_cell_length_a 6.7339
_cell_length_b 2.8638
_cell_length_c 6.8874
_cell_angle_alpha 90.00
_cell_angle_beta 91.37
_cell_angle_gamma 90.00
loop_
_atom_site_label
_atom_site_fract_x
_atom_site_fract_y
_atom_site_fract_z
Ag1 0.2022 0.2500 0.2793
H1 0.1971 0.2500 0.6175
H2 0.2958 0.7500 0.8614
H3 0.4670 0.7500 0.3536
Pd1 0.1253 0.2500 0.8789
Rh1 0.3668 0.7500 0.6164
```

---

[4]
# AgH5Pd2Rh

A relaxed structure of AgH5Pd2Rh (GGA-PBE, Alexandria via LeMat-Bulk).

* density: 8.83 g/cm³
* final energy: -4.128 eV per atom

Structure (CIF):
```
data_AgH5Pd2Rh
_chemical_formula_sum 'Ag2 H10 Pd4 Rh2'
_symmetry_space_group_name_H-M 'I m m m'
_symmetry_Int_Tables_number 71
_symmetry_space_group_name_Hall '-I 2 2'
_cell_length_a 3.3974
_cell_length_b 4.8289
_cell_length_c 9.8261
_cell_angle_alpha 90.00
_cell_angle_beta 90.00
_cell_angle_gamma 90.00
loop_
_atom_site_label
_atom_site_fract_x
_atom_site_fract_y
_atom_site_fract_z
Ag1 0.0000 0.0000 0.0000
H1 0.0000 0.2065 0.3498
H2 0.0000 0.5000 0.0000
Pd1 0.0000 0.5000 0.2444
Rh1 0.0000 0.0000 0.5000
```

---

[5]
# AgHPd2Ru

A relaxed structure of AgHPd2Ru (GGA-PBE, Alexandria via LeMat-Bulk).

* density: 10.80 g/cm³
* final energy: -4.941 eV per atom

Structure (CIF):
```
data_AgHPd2Ru
_chemical_formula_sum 'Ag1 H1 Pd2 Ru1'
_symmetry_space_group_name_H-M 'P 4/m m m'
_symmetry_Int_Tables_number 123
_symmetry_space_group_name_Hall '-P 4 2'
_cell_length_a 4.0971
_cell_length_b 4.0971
_cell_length_c 3.8738
_cell_angle_alpha 90.00
_cell_angle_beta 90.00
_cell_angle_gamma 90.00
loop_
_atom_site_label
_atom_site_fract_x
_atom_site_fract_y
_atom_site_fract_z
Ag1 0.0000 0.0000 0.0000
H1 0.5000 0.5000 0.5000
Pd1 0.0000 0.5000 0.5000
Ru1 0.5000 0.5000 0.0000
```

---

[6]
# AgSbHPd2

A relaxed structure of AgSbHPd2 (GGA-PBE, Alexandria via LeMat-Bulk).

* density: 8.60 g/cm³
* polymorph energy (0 for the lowest one): 410 meV/atom
* final energy: -3.834 eV per atom

Structure (CIF):
```
data_AgSbHPd2
_chemical_formula_sum 'Ag1 Sb1 H1 Pd2'
_symmetry_space_group_name_H-M 'P 4/m m m'
_symmetry_Int_Tables_number 123
_symmetry_space_group_name_Hall '-P 4 2'
_cell_length_a 5.1555
_cell_length_b 5.1555
_cell_length_c 3.2215
_cell_angle_alpha 90.00
_cell_angle_beta 90.00
_cell_angle_gamma 90.00
loop_
_atom_site_label
_atom_site_fract_x
_atom_site_fract_y
_atom_site_fract_z
Ag1 0.0000 0.0000 0.0000
Sb1 0.5000 0.5000 0.5000
H1 0.0000 0.0000 0.5000
Pd1 0.0000 0.5000 0.0000
```

---

[7]
# AgSbHPd2

A relaxed structure of AgSbHPd2 (GGA-PBE, Alexandria via LeMat-Bulk).

* density: 10.01 g/cm³
* polymorph energy (0 for the lowest one): 0 meV/atom
* final energy: -4.244 eV per atom

Structure (CIF):
```
data_AgSbHPd2
_chemical_formula_sum 'Ag1 Sb1 H1 Pd2'
_symmetry_space_group_name_H-M 'P 4/m m m'
_symmetry_Int_Tables_number 123
_symmetry_space_group_name_Hall '-P 4 2'
_cell_length_a 4.2340
_cell_length_b 4.2340
_cell_length_c 4.1057
_cell_angle_alpha 90.00
_cell_angle_beta 90.00
_cell_angle_gamma 90.00
loop_
_atom_site_label
_atom_site_fract_x
_atom_site_fract_y
_atom_site_fract_z
Ag1 0.0000 0.0000 0.0000
Sb1 0.5000 0.5000 0.0000
H1 0.0000 0.0000 0.5000
Pd1 0.0000 0.5000 0.5000
```

---

[8]
# Sc2AgHPd

A relaxed structure of Sc2AgHPd (GGA-PBE, Alexandria via LeMat-Bulk).

* density: 6.40 g/cm³
* polymorph energy (0 for the lowest one): 0 meV/atom
* final energy: -5.311 eV per atom

Structure (CIF):
```
data_Sc2AgHPd
_chemical_formula_sum 'Sc2 Ag1 H1 Pd1'
_symmetry_space_group_name_H-M 'P 4/m m m'
_symmetry_Int_Tables_number 123
_symmetry_space_group_name_Hall '-P 4 2'
_cell_length_a 4.6543
_cell_length_b 4.6543
_cell_length_c 3.6582
_cell_angle_alpha 90.00
_cell_angle_beta 90.00
_cell_angle_gamma 90.00
loop_
_atom_site_label
_atom_site_fract_x
_atom_site_fract_y
_atom_site_fract_z
Sc1 0.0000 0.5000 0.0000
Ag1 0.0000 0.0000 0.5000
H1 0.5000 0.5000 0.0000
Pd1 0.5000 0.5000 0.5000
```

---

[9]
# ScAgHPd2

A relaxed structure of ScAgHPd2 (GGA-PBE, Alexandria via LeMat-Bulk).

* density: 8.71 g/cm³
* polymorph energy (0 for the lowest one): 0 meV/atom
* final energy: -5.036 eV per atom

Structure (CIF):
```
data_ScAgHPd2
_chemical_formula_sum 'Sc1 Ag1 H1 Pd2'
_symmetry_space_group_name_H-M 'P 4/m m m'
_symmetry_Int_Tables_number 123
_symmetry_space_group_name_Hall '-P 4 2'
_cell_length_a 4.0998
_cell_length_b 4.0998
_cell_length_c 4.1587
_cell_angle_alpha 90.00
_cell_angle_beta 90.00
_cell_angle_gamma 90.00
loop_
_atom_site_label
_atom_site_fract_x
_atom_site_fract_y
_atom_site_fract_z
Sc1 0.0000 0.0000 0.0000
Ag1 0.5000 0.5000 0.0000
H1 0.0000 0.0000 0.5000
Pd1 0.0000 0.5000 0.5000
```

---

[10]
# Sc2AgHPd

A relaxed structure of Sc2AgHPd (GGA-PBE, Alexandria via LeMat-Bulk).

* density: 6.47 g/cm³
* polymorph energy (0 for the lowest one): 57 meV/atom
* final energy: -5.253 eV per atom

Structure (CIF):
```
data_Sc2AgHPd
_chemical_formula_sum 'Sc2 Ag1 H1 Pd1'
_symmetry_space_group_name_H-M 'P 4/m m m'
_symmetry_Int_Tables_number 123
_symmetry_space_group_name_Hall '-P 4 2'
_cell_length_a 4.4840
_cell_length_b 4.4840
_cell_length_c 3.8952
_cell_angle_alpha 90.00
_cell_angle_beta 90.00
_cell_angle_gamma 90.00
loop_
_atom_site_label
_atom_site_fract_x
_atom_site_fract_y
_atom_site_fract_z
Sc1 0.0000 0.5000 0.0000
Ag1 0.0000 0.0000 0.5000
H1 0.0000 0.0000 0.0000
Pd1 0.5000 0.5000 0.5000
```

---

[11]
# ScAgHPd2

A relaxed structure of ScAgHPd2 (GGA-PBE, Alexandria via LeMat-Bulk).

* density: 8.62 g/cm³
* polymorph energy (0 for the lowest one): 105 meV/atom
* final energy: -4.931 eV per atom

Structure (CIF):
```
data_ScAgHPd2
_chemical_formula_sum 'Sc1 Ag1 H1 Pd2'
_symmetry_space_group_name_H-M 'P 4/m m m'
_symmetry_Int_Tables_number 123
_symmetry_space_group_name_Hall '-P 4 2'
_cell_length_a 4.1234
_cell_length_b 4.1234
_cell_length_c 4.1535
_cell_angle_alpha 90.00
_cell_angle_beta 90.00
_cell_angle_gamma 90.00
loop_
_atom_site_label
_atom_site_fract_x
_atom_site_fract_y
_atom_site_fract_z
Sc1 0.0000 0.0000 0.0000
Ag1 0.5000 0.5000 0.0000
H1 0.5000 0.5000 0.5000
Pd1 0.0000 0.5000 0.5000
```

---

[12]
# Ag2HPd6Se

A relaxed structure of Ag2HPd6Se (GGA-PBE, Alexandria via LeMat-Bulk).

* density: 9.95 g/cm³
* final energy: -4.436 eV per atom

Structure (CIF):
```
data_Ag2HPd6Se
_chemical_formula_sum 'Ag2 H1 Pd6 Se1'
_symmetry_space_group_name_H-M 'P -1'
_symmetry_Int_Tables_number 2
_symmetry_space_group_name_Hall '-P 1'
_cell_length_a 5.6446
_cell_length_b 5.7421
_cell_length_c 5.8589
_cell_angle_alpha 70.43
_cell_angle_beta 70.92
_cell_angle_gamma 63.04
loop_
_atom_site_label
_atom_site_fract_x
_atom_site_fract_y
_atom_site_fract_z
Ag1 0.1984 0.3129 0.2964
H1 0.0000 0.0000 0.0000
Pd1 0.1516 0.8517 0.2914
Pd2 0.2682 0.6875 0.8598
Pd3 0.2950 0.1824 0.8151
Se1 0.5000 0.5000 0.5000
```

---

- What is the final energy in the eleventh record?
  -4.931 eV per atom

---

- Number 3 is which compound?
  AgH3PdRh

---

- The highest density belongs to which entry?
  AgHPd2Ru

---

- What is the density in the second record?
  7.81 g/cm³